# 1
A relaxed structure of NiHg2Se. Source: Alexandria via LeMat-Bulk, functional PBE.

Cell lengths 6.808, 6.808, 6.808 Å; angles 90.00, 90.00, 90.00 degrees
Space group F-43m (No. 216)
One atom of each set of equivalent atoms:
Ni  0.000  0.000  0.000
Hg  0.000  0.000  0.500
Hg  0.250  0.250  0.750
Se  0.250  0.250  0.250

Values from the calculation:
raw formation energy: 0.41 eV/atom
raw total energy: -2.057 eV per atom

# 2
A relaxed structure of Ni4HgSe. Source: Alexandria via LeMat-Bulk, functional PBE.

Cell lengths 6.935, 6.935, 6.935 Å; angles 90.00, 90.00, 90.00 degrees
Space group F-43m (No. 216)
One atom of each set of equivalent atoms:
Ni  0.124  0.124  0.376
Hg  0.000  0.000  0.000
Se  0.250  0.250  0.750

Values from the calculation:
raw formation energy: 0.31 eV/atom
raw total energy: -4.173 eV per atom

# 3
A relaxed structure of NiHg2Se. Source: Alexandria via LeMat-Bulk, functional PBE.

Cell lengths 5.081, 3.282, 6.020 Å; angles 90.00, 113.72, 90.00 degrees
Space group Pm (No. 6)
One atom of each set of equivalent atoms:
Ni  0.000  0.000  0.000
Hg  0.452  0.000  0.898
Hg  0.817  0.500  0.609
Se  0.142  0.500  0.288

Values from the calculation:
raw formation energy: -0.01 eV/atom
raw total energy: -2.482 eV per atom

> What is the raw total energy in the first record?

-2.057 eV per atom

> Which formula does entry 1 have?

NiHg2Se